Here is an optimized crystal structure of CaZr from Alexandria. Energies are from PBE.

The structure in extended XYZ format:
```
12
Lattice="-10.9327 -2.8833 9.6430 1.6394 -2.9366 0.9806 3.6088 3.7560 5.2145" Properties=species:S:1:pos:R:3 pbc="T T T"
Ca -5.9074 0.6837 11.9232
Ca 0.7441 2.4379 6.0564
Ca -1.4257 -1.2210 4.9848
Ca -5.7069 -2.3501 8.7610
Ca 0.9912 -1.2898 0.7382
Ca -3.4905 0.6149 7.6766
Zr -8.4905 -1.2046 10.5871
Zr 0.2207 1.0928 2.9036
Zr -0.4001 0.6467 8.8632
Zr -2.6216 0.0608 10.8226
Zr 3.0494 0.8523 3.7120
Zr -5.0411 -0.9991 5.4360
```

Results
Energy relative to the lowest polymorph listed for this composition = 0.361 eV/f.u.
Energy of formation from the pure elements = 0.372 eV/atom
M_tot = 0.00 μB per formula unit
DOS(E_F) = 11.78 states/eV/cell